(1)
VASP calculation (PBE-GGA) on a geometry-optimized Ce2PmPb4 structure.

```
Ce2PmPb4
1.0
6.093 0.000 0.000
0.000 6.093 0.000
-3.047 -3.047 6.313
Ce Pm Pb
2 1 4
Cartesian
3.047 3.047 1.743
0.000 0.000 4.571
0.000 0.000 0.000
3.047 0.000 0.000
0.000 3.047 0.000
0.000 3.047 3.157
3.047 0.000 3.157
```

Uncorrected energy: -32.766 eV per cell
DFT formation energy: -0.19 eV/atom
Fermi-level density of states: 1.95 states/eV per atom

---

(2)
VASP calculation (PBE-GGA) on a geometry-optimized Y4Mg2N structure.

```
Y4Mg2N
1.0
-2.104 -0.758 4.338
-4.276 -0.800 -2.214
-1.491 -8.440 0.548
Y Mg N
4 2 1
Cartesian
-2.006 -6.117 0.704
-5.865 -3.881 1.969
-1.052 -0.379 2.169
-2.138 -0.400 -1.107
-2.725 -2.877 0.922
-5.146 -7.120 1.752
0.000 0.000 0.000
```

Uncorrected energy: -39.822 eV per cell
Formation energy from raw total energies: -33.79 kJ/mol of atoms
Fermi-level density of states: 1.28 states/eV per atom

---

> Look up the uncorrected energy of the second one.

-39.822 eV per cell

---

> The lowest Fermi-level density of states belongs to which entry?

Y4Mg2N

---

> Look up the Fermi-level density of states of the second one.

1.28 states/eV per atom

---

> What is the formula in the first record?

Ce2PmPb4